{"formula": "Dy4ScZn3", "functional": "PBE", "state": "relaxed", "formation_enthalpy_0k_ev_per_atom": -0.194, "crystal_system": "trigonal", "dos_ef_per_ev_cell": 7.35, "space_group": "R-3m", "lattice": [[2.538, 1.465, 8.591], [-2.538, 1.465, 8.591], [0.000, -2.931, 8.591]], "species": ["Dy", "Dy", "Dy", "Dy", "Sc", "Zn", "Zn", "Zn"], "fractional_positions": [[0.115, 0.115, 0.115], [0.370, 0.370, 0.370], [0.630, 0.630, 0.630], [0.885, 0.885, 0.885], [0.500, 0.500, 0.500], [0.000, 0.000, 0.000], [0.238, 0.238, 0.238], [0.762, 0.762, 0.762]]}